Material: ZrAgMo
Method: DFT, PBE
State: relaxed

Unit cell a=3.470 b=4.511 c=14.071 alpha=90.00 beta=90.00 gamma=90.00
Space group Fmm2 (No. 42)
Symmetry-distinct sites (fractional):
Zr  0.000  0.000  0.000 x4
Ag  0.000  0.000  0.677 x4
Mo  0.000  0.000  0.340 x4

Summary:
As for the formation energy: 210 meV/atom.



Material: La4Ga6Rh7
Method: DFT, PBE
State: relaxed

Unit cell a=8.672 b=8.672 c=8.672 alpha=90.00 beta=90.00 gamma=90.00
Space group Im-3m (No. 229)
Symmetry-distinct sites (fractional):
La  0.250  0.250  0.250 x8
Ga  0.000  0.000  0.328 x12
Rh  0.000  0.000  0.000 x2
Rh  0.000  0.250  0.500 x12

Summary:
As for the formation energy: -770 meV/atom.



Material: CeSm6Tl5
Method: DFT, PBE
State: relaxed

Unit cell a=5.401 b=7.967 c=16.424 alpha=90.00 beta=90.00 gamma=90.00
Space group Immm (No. 71)
Symmetry-distinct sites (fractional):
Ce  0.000  0.000  0.000 x2
Sm  0.000  0.232  0.500 x4
Sm  0.000  0.255  0.170 x8
Tl  0.000  0.000  0.330 x4
Tl  0.000  0.500  0.000 x2
Tl  0.000  0.500  0.348 x4

Summary:
As for the formation energy: -273 meV/atom.



Material: BaPuPt2
Method: DFT, PBE
State: relaxed

Unit cell a=4.4024 b=4.4024 c=20.3176 alpha=90.00 beta=90.00 gamma=120.00
Space group R-3m (No. 166, hexagonal axes)
Symmetry-distinct sites (fractional):
Ba  0.0000  0.0000  0.0000 x3
Pu  0.0000  0.0000  0.5000 x3
Pt  0.0000  0.0000  0.2279 x6

Summary:
As for the formation energy: -691 meV/atom.



Material: Ac3AlPd3
Method: DFT, PBE
State: relaxed

Unit cell a=9.1013 b=9.1013 c=6.1428 alpha=90.00 beta=90.00 gamma=120.00
Space group P6_3/m (No. 176)
Symmetry-distinct sites (fractional):
Ac  0.0626  0.3648  0.2500 x6
Al  0.3333  0.6667  0.7500 x2
Pd  0.0708  0.3808  0.7500 x6

Summary:
As for the formation energy: -635 meV/atom.



Material: Be4C3
Method: DFT, PBE
State: relaxed

Unit cell a=3.802 b=3.802 c=3.802 alpha=90.00 beta=90.00 gamma=90.00
Space group Pm-3m (No. 221)
Symmetry-distinct sites (fractional):
Be  0.000  0.000  0.000 x1
Be  0.000  0.500  0.500 x3
C  0.000  0.000  0.500 x3

Summary:
As for the formation energy: 1014 meV/atom.



Material: Tb9ThTl2
Method: DFT, PBE
State: relaxed

Unit cell a=4.903 b=4.903 c=14.931 alpha=90.00 beta=90.00 gamma=90.00
Space group P4/mmm (No. 123)
Symmetry-distinct sites (fractional):
Tb  0.000  0.000  0.000 x1
Tb  0.000  0.000  0.338 x2
Tb  0.000  0.500  0.170 x4
Tb  0.000  0.500  0.500 x2
Th  0.500  0.500  0.000 x1
Tl  0.500  0.500  0.338 x2

Summary:
As for the formation energy: -100 meV/atom.



Material: CsCrPbBr6
Method: DFT, PBE
State: relaxed

Unit cell a=7.4099 b=7.4099 c=7.8417 alpha=90.00 beta=90.00 gamma=120.00
Space group P312 (No. 149)
Symmetry-distinct sites (fractional):
Cs  0.0000  0.0000  0.0000 x1
Cr  0.6667  0.3333  0.5000 x1
Pb  0.3333  0.6667  0.5000 x1
Br  0.3958  0.0519  0.6919 x6

Summary:
The calculation puts the formation energy without anion corrections at -1.046 eV per atom.



Ordered E results: -7.200 -6.024 -4.113 -7.775 -5.155 -5.069 -4.586 -3.738; unit eV per atom.